A plane-wave DFT calculation with PBE was carried out for crystalline CePrAgHg at its relaxed geometry.

The structure in POSCAR format:
```
CePrAgHg
1.0
3.7786 0.0000 0.0000
0.0000 3.7786 0.0000
0.0000 0.0000 7.7057
Ce Pr Ag Hg
1 1 1 1
Direct
0.0000 0.0000 0.0000
0.0000 0.0000 0.5127
0.5000 0.5000 0.7570
0.5000 0.5000 0.2528
```

Results
Excess energy over the best structure of this formula in the dataset (meV/atom): 0
Formation energy from the elements (eV per atom): -0.255
Space-group type: P4mm (99)
Size of the total moment (μB per cell): 1.517

A plane-wave DFT calculation with PBE was carried out for crystalline CePrAgHg at its relaxed geometry.

The structure in POSCAR format:
```
CePrAgHg
1.0
0.0000 3.8041 3.8041
3.8041 0.0000 3.8041
3.8041 3.8041 0.0000
Ce Pr Ag Hg
1 1 1 1
Direct
0.0000 0.0000 0.0000
0.5000 0.5000 0.5000
0.7500 0.7500 0.7500
0.2500 0.2500 0.2500
```

Results
Excess energy over the best structure of this formula in the dataset (meV/atom): 3
Formation energy from the elements (eV per atom): -0.252
Space-group type: F-43m (216)
Size of the total moment (μB per cell): 1.471

A plane-wave DFT calculation with PBE was carried out for crystalline CePuAgHg at its relaxed geometry.

The structure in POSCAR format:
```
CePuAgHg
1.0
0.0000 3.6023 3.6023
3.6023 0.0000 3.6023
3.6023 3.6023 0.0000
Ce Pu Ag Hg
1 1 1 1
Direct
0.0000 0.0000 0.0000
0.7500 0.7500 0.7500
0.5000 0.5000 0.5000
0.2500 0.2500 0.2500
```

Results
Excess energy over the best structure of this formula in the dataset (meV/atom): 0
Formation energy from the elements (eV per atom): -0.139
Space-group type: F-43m (216)
Size of the total moment (μB per cell): 7.008